Record 1
The following is a DFT calculation (PBE) of a relaxed K3Sm2TmS6 crystal.

The raw formation energy is -1.871 eV per atom.

It has space group C2/m (No. 12), with a = 7.0930 Å, b = 12.2864 Å, c = 7.7517 Å, α = 90.00°, β = 107.77° and γ = 90.00°. The inequivalent atoms are K at (0.0000, 0.0000, 0.0000), K at (0.0000, 0.3324, 0.0000), Sm at (0.0000, 0.1665, 0.5000), Tm at (0.0000, 0.5000, 0.5000), S at (0.2302, 0.3375, 0.7032) and S at (0.2430, 0.0000, 0.7032).


Record 2
The following is a DFT calculation (PBE) of a relaxed TiGaSiCl2 crystal.

The raw formation energy is -0.327 eV per atom.

It has space group P4/mmm (No. 123), with a = 4.6584 Å, b = 4.6584 Å, c = 5.3151 Å, α = 90.00°, β = 90.00° and γ = 90.00°. The inequivalent atoms are Ti at (0.0000, 0.0000, 0.0000), Ga at (0.5000, 0.5000, 0.5000), Si at (0.0000, 0.0000, 0.5000) and Cl at (0.0000, 0.5000, 0.0000).


Record 3
The following is a DFT calculation (PBE) of a relaxed LiNbMo2 crystal.

The formation energy is 0.800 eV/atom. Its offset from the most stable computed form is 0.357 eV/atom.

It has space group I-42d (No. 122), with a = 7.0201 Å, b = 7.0201 Å, c = 5.1974 Å, α = 90.00°, β = 90.00° and γ = 90.00°. The inequivalent atoms are Li at (0.0000, 0.0000, 0.0000), Nb at (0.0000, 0.0000, 0.5000) and Mo at (0.2274, 0.2500, 0.1250).


Record 4
The following is a DFT calculation (PBE) of a relaxed Sm3Dy2Ho8 crystal.

The formation energy is 0.019 eV/atom. Its offset from the most stable computed form is 0.000 eV/atom.

It has space group P-1 (No. 2), with a = 6.1405 Å, b = 7.9313 Å, c = 9.3949 Å, α = 65.06°, β = 83.81° and γ = 82.57°. The inequivalent atoms are Sm at (0.0000, 0.0000, 0.0000), Sm at (0.4610, 0.0774, 0.1549), Dy at (0.3839, 0.2316, 0.4614), Ho at (0.0777, 0.8453, 0.6909), Ho at (0.1536, 0.6908, 0.3857), Ho at (0.2302, 0.5376, 0.0775) and Ho at (0.3084, 0.3869, 0.7676).


Record 5
The following is a DFT calculation (PBE) of a relaxed Sn3Hg5Bi12 crystal.

The formation energy is 0.190 eV/atom.

It has space group Ia-3d (No. 230), with a = 19.6575 Å, b = 19.6575 Å, c = 19.6575 Å, α = 90.00°, β = 90.00° and γ = 90.00°. The inequivalent atoms are Sn at (0.0000, 0.2500, 0.1250), Hg at (0.0000, 0.0000, 0.0000), Hg at (0.0000, 0.2500, 0.3750) and Bi at (0.0133, 0.0798, 0.1453).


Record 6
The following is a DFT calculation (PBE) of a relaxed RbTaBe crystal.

The formation energy is 0.611 eV/atom. Its offset from the most stable computed form is 0.160 eV/atom.

It has space group P-1 (No. 2), with a = 4.3938 Å, b = 4.3955 Å, c = 12.0419 Å, α = 84.04°, β = 83.25° and γ = 60.07°. The inequivalent atoms are Rb at (0.2404, 0.2124, 0.1973), Ta at (0.1663, 0.1668, 0.5018) and Be at (0.4793, 0.4858, 0.5861).


Record 7
The following is a DFT calculation (PBE) of a relaxed SrInCu2 crystal.

The formation energy is 0.057 eV/atom.

It has space group Imm2 (No. 44), with a = 3.8018 Å, b = 5.2634 Å, c = 9.0114 Å, α = 90.00°, β = 90.00° and γ = 90.00°. The inequivalent atoms are Sr at (0.0000, 0.0000, 0.0000), In at (0.0000, 0.5000, 0.2019), Cu at (0.0000, 0.0000, 0.4632) and Cu at (0.0000, 0.5000, 0.7931).


Record 8
The following is a DFT calculation (PBE) of a relaxed TmCu2Pt4 crystal.

The formation energy is -0.450 eV/atom.

It has space group P-1 (No. 2), with a = 4.7724 Å, b = 5.4778 Å, c = 5.5689 Å, α = 60.59°, β = 72.97° and γ = 89.72°. The inequivalent atoms are Tm at (0.0000, 0.0000, 0.0000), Cu at (0.4739, 0.7378, 0.5234), Pt at (0.0000, 0.0000, 0.5000), Pt at (0.0000, 0.5000, 0.5000) and Pt at (0.4986, 0.2597, 0.0007).


Record 9
The following is a DFT calculation (PBE) of a relaxed NdSm4Pd2 crystal.

The formation energy is -0.322 eV/atom. Its offset from the most stable computed form is 0.000 eV/atom.

It has space group R-3m (No. 166, hexagonal axes), with a = 4.0514 Å, b = 4.0514 Å, c = 46.1236 Å, α = 90.00°, β = 90.00° and γ = 120.00°. The inequivalent atoms are Nd at (0.0000, 0.0000, 0.0000), Sm at (0.0000, 0.0000, 0.1982), Sm at (0.0000, 0.0000, 0.3962) and Pd at (0.0000, 0.0000, 0.0991).